Crystalline AcPmAg at its relaxed geometry. Source: Alexandria via LeMat-Bulk, functional PBE.

DFT formation energy   0.09 eV per atom
Total moment   0.290 μB/atom

```
data_AcPmAg
_cell_length_a 7.549
_cell_length_b 7.549
_cell_length_c 7.549
_cell_angle_alpha 90.00
_cell_angle_beta 90.00
_cell_angle_gamma 90.00
_space_group_name_H-M_alt 'F -4 3 m'
_space_group_IT_number 216
_space_group_name_Hall 'F -4 2 3'
loop_
_atom_site_label
_atom_site_type_symbol
_atom_site_fract_x
_atom_site_fract_y
_atom_site_fract_z
_atom_site_occupancy
Ac1 Ac 0.000 0.000 0.000 1
Pm1 Pm 0.000 0.000 0.500 1
Ag1 Ag 0.250 0.250 0.750 1
```



Crystalline MnAuSe2 at its relaxed geometry. Source: Alexandria via LeMat-Bulk, functional PBE.

Total moment   1.164 μB/atom
Formation energy without anion corrections   0.06 eV/atom

```
data_MnAuSe2
_cell_length_a 3.662
_cell_length_b 3.662
_cell_length_c 14.656
_cell_angle_alpha 90.00
_cell_angle_beta 90.00
_cell_angle_gamma 90.00
_space_group_name_H-M_alt 'I -4 m 2'
_space_group_IT_number 119
_space_group_name_Hall 'I -4 -2'
loop_
_atom_site_label
_atom_site_type_symbol
_atom_site_fract_x
_atom_site_fract_y
_atom_site_fract_z
_atom_site_occupancy
Mn1 Mn 0.000 0.000 0.000 1
Au1 Au 0.000 0.500 0.250 1
Se1 Se 0.000 0.000 0.500 1
Se2 Se 0.000 0.500 0.750 1
```



Crystalline RbAc2Dy at its relaxed geometry. Source: Alexandria via LeMat-Bulk, functional PBE.

DFT formation energy   0.20 eV per atom
Total moment   0.000 μB/atom

```
data_RbAc2Dy
_cell_length_a 3.9123
_cell_length_b 3.9123
_cell_length_c 42.2089
_cell_angle_alpha 90.00
_cell_angle_beta 90.00
_cell_angle_gamma 120.00
_space_group_name_H-M_alt 'R -3 m'
_space_group_IT_number 166
_space_group_name_Hall '-R 3 2"'
loop_
_atom_site_label
_atom_site_type_symbol
_atom_site_fract_x
_atom_site_fract_y
_atom_site_fract_z
_atom_site_occupancy
Rb1 Rb 0.0000 0.0000 0.0000 1
Ac1 Ac 0.0000 0.0000 0.0970 1
Dy1 Dy 0.0000 0.0000 0.5000 1
```



Crystalline K2TcPb at its relaxed geometry. Source: Alexandria via LeMat-Bulk, functional PBE.

DFT formation energy   0.97 eV per atom
Total moment   0.000 μB/atom

```
data_K2TcPb
_cell_length_a 3.042
_cell_length_b 3.042
_cell_length_c 11.804
_cell_angle_alpha 90.00
_cell_angle_beta 90.00
_cell_angle_gamma 90.00
_space_group_name_H-M_alt 'P 4/m m m'
_space_group_IT_number 123
_space_group_name_Hall '-P 4 2'
loop_
_atom_site_label
_atom_site_type_symbol
_atom_site_fract_x
_atom_site_fract_y
_atom_site_fract_z
_atom_site_occupancy
K1 K 0.000 0.000 0.232 1
Tc1 Tc 0.500 0.500 0.000 1
Pb1 Pb 0.500 0.500 0.500 1
```



Crystalline AlHIO2 at its relaxed geometry. Source: Alexandria via LeMat-Bulk, functional PBE.

Total energy   -4.438 eV/atom
Total moment   0.195 μB/atom

```
data_AlHIO2
_cell_length_a 3.513
_cell_length_b 3.513
_cell_length_c 7.034
_cell_angle_alpha 90.00
_cell_angle_beta 90.00
_cell_angle_gamma 90.00
_space_group_name_H-M_alt 'P 4/m m m'
_space_group_IT_number 123
_space_group_name_Hall '-P 4 2'
loop_
_atom_site_label
_atom_site_type_symbol
_atom_site_fract_x
_atom_site_fract_y
_atom_site_fract_z
_atom_site_occupancy
Al1 Al 0.000 0.000 0.000 1
H1 H 0.500 0.500 0.500 1
I1 I 0.000 0.000 0.500 1
O1 O 0.000 0.500 0.000 1
```



Crystalline In2AgSn at its relaxed geometry. Source: Alexandria via LeMat-Bulk, functional PBE.

DFT formation energy   0.08 eV per atom
Total moment   0.000 μB/atom

```
data_In2AgSn
_cell_length_a 4.554
_cell_length_b 4.554
_cell_length_c 4.712
_cell_angle_alpha 90.00
_cell_angle_beta 90.00
_cell_angle_gamma 90.00
_space_group_name_H-M_alt 'P 4/m m m'
_space_group_IT_number 123
_space_group_name_Hall '-P 4 2'
loop_
_atom_site_label
_atom_site_type_symbol
_atom_site_fract_x
_atom_site_fract_y
_atom_site_fract_z
_atom_site_occupancy
In1 In 0.000 0.500 0.000 1
Ag1 Ag 0.000 0.000 0.500 1
Sn1 Sn 0.500 0.500 0.500 1
```



Crystalline IrRhW2 at its relaxed geometry. Source: Alexandria via LeMat-Bulk, functional PBE.

DFT formation energy   -0.09 eV per atom
Total moment   0.000 μB/atom

```
data_IrRhW2
_cell_length_a 3.939
_cell_length_b 3.939
_cell_length_c 7.835
_cell_angle_alpha 90.00
_cell_angle_beta 90.00
_cell_angle_gamma 90.00
_space_group_name_H-M_alt 'I -4 m 2'
_space_group_IT_number 119
_space_group_name_Hall 'I -4 -2'
loop_
_atom_site_label
_atom_site_type_symbol
_atom_site_fract_x
_atom_site_fract_y
_atom_site_fract_z
_atom_site_occupancy
Ir1 Ir 0.000 0.000 0.000 1
Rh1 Rh 0.000 0.500 0.250 1
W1 W 0.000 0.000 0.500 1
W2 W 0.000 0.500 0.750 1
```



Crystalline TbNdSc2Tl4 at its relaxed geometry. Source: Alexandria via LeMat-Bulk, functional PBE.

DFT formation energy   -0.30 eV per atom
Total moment   0.000 μB/atom

```
data_TbNdSc2Tl4
_cell_length_a 5.2848
_cell_length_b 5.2848
_cell_length_c 25.9467
_cell_angle_alpha 90.00
_cell_angle_beta 90.00
_cell_angle_gamma 120.00
_space_group_name_H-M_alt 'R -3 m'
_space_group_IT_number 166
_space_group_name_Hall '-R 3 2"'
loop_
_atom_site_label
_atom_site_type_symbol
_atom_site_fract_x
_atom_site_fract_y
_atom_site_fract_z
_atom_site_occupancy
Tb1 Tb 0.0000 0.0000 0.0000 1
Nd1 Nd 0.0000 0.0000 0.5000 1
Sc1 Sc 0.0000 0.0000 0.2502 1
Tl1 Tl 0.0000 0.0000 0.1234 1
Tl2 Tl 0.0000 0.0000 0.3736 1
```



Crystalline Hf3VH at its relaxed geometry. Source: Alexandria via LeMat-Bulk, functional PBE.

Total energy   -7.087 eV/atom
Total moment   0.000 μB/atom

```
data_Hf3VH
_cell_length_a 4.871
_cell_length_b 4.871
_cell_length_c 4.871
_cell_angle_alpha 90.00
_cell_angle_beta 90.00
_cell_angle_gamma 90.00
_space_group_name_H-M_alt 'P m -3 m'
_space_group_IT_number 221
_space_group_name_Hall '-P 4 2 3'
loop_
_atom_site_label
_atom_site_type_symbol
_atom_site_fract_x
_atom_site_fract_y
_atom_site_fract_z
_atom_site_occupancy
Hf1 Hf 0.000 0.000 0.500 1
V1 V 0.000 0.000 0.000 1
H1 H 0.500 0.500 0.500 1
```



Crystalline BaSnF2 at its relaxed geometry. Source: Alexandria via LeMat-Bulk, functional PBE.

Total moment   0.000 μB/atom
Formation energy without anion corrections   -2.36 eV/atom

```
data_BaSnF2
_cell_length_a 3.9963
_cell_length_b 3.9963
_cell_length_c 26.7285
_cell_angle_alpha 90.00
_cell_angle_beta 90.00
_cell_angle_gamma 120.00
_space_group_name_H-M_alt 'R -3 m'
_space_group_IT_number 166
_space_group_name_Hall '-R 3 2"'
loop_
_atom_site_label
_atom_site_type_symbol
_atom_site_fract_x
_atom_site_fract_y
_atom_site_fract_z
_atom_site_occupancy
Ba1 Ba 0.0000 0.0000 0.0000 1
Sn1 Sn 0.0000 0.0000 0.5000 1
F1 F 0.0000 0.0000 0.2905 1
```



Crystalline Rb2NaH at its relaxed geometry. Source: Alexandria via LeMat-Bulk, functional PBE.

Total energy   -1.402 eV/atom
Total moment   0.000 μB/atom

```
data_Rb2NaH
_cell_length_a 8.951
_cell_length_b 8.951
_cell_length_c 8.951
_cell_angle_alpha 90.00
_cell_angle_beta 90.00
_cell_angle_gamma 90.00
_space_group_name_H-M_alt 'F m -3 m'
_space_group_IT_number 225
_space_group_name_Hall '-F 4 2 3'
loop_
_atom_site_label
_atom_site_type_symbol
_atom_site_fract_x
_atom_site_fract_y
_atom_site_fract_z
_atom_site_occupancy
Rb1 Rb 0.250 0.250 0.250 1
Na1 Na 0.000 0.000 0.000 1
H1 H 0.000 0.000 0.500 1
```



Crystalline BaNb2OsSe at its relaxed geometry. Source: Alexandria via LeMat-Bulk, functional PBE.

Total moment   0.000 μB/atom
Formation energy without anion corrections   3.14 eV/atom

```
data_BaNb2OsSe
_cell_length_a 5.037
_cell_length_b 5.037
_cell_length_c 5.441
_cell_angle_alpha 90.00
_cell_angle_beta 90.00
_cell_angle_gamma 90.00
_space_group_name_H-M_alt 'P 4/m m m'
_space_group_IT_number 123
_space_group_name_Hall '-P 4 2'
loop_
_atom_site_label
_atom_site_type_symbol
_atom_site_fract_x
_atom_site_fract_y
_atom_site_fract_z
_atom_site_occupancy
Ba1 Ba 0.000 0.000 0.000 1
Nb1 Nb 0.000 0.500 0.000 1
Os1 Os 0.500 0.500 0.500 1
Se1 Se 0.000 0.000 0.500 1
```